(1)
A relaxed Fe6Co2Rh crystal. Source: Alexandria via LeMat-Bulk, functional PBE-GGA.

Properties
ΔE_f in eV per atom: 0.18

```
data_Fe6Co2Rh
_cell_length_a 6.648
_cell_length_b 6.648
_cell_length_c 6.648
_cell_angle_alpha 116.69
_cell_angle_beta 104.98
_cell_angle_gamma 107.00
_symmetry_space_group_name_H-M 'P 1'
_symmetry_Int_Tables_number 1
loop_
_symmetry_equiv_pos_as_xyz
'x,y,z'
loop_
_atom_site_label
_atom_site_type_symbol
_atom_site_fract_x
_atom_site_fract_y
_atom_site_fract_z
_atom_site_occupancy
Fe1 Fe 0.023 0.029 0.704 1
Fe2 Fe 0.090 0.775 0.865 1
Fe3 Fe 0.175 0.471 0.995 1
Fe4 Fe 0.325 0.320 0.296 1
Fe5 Fe 0.410 0.275 0.685 1
Fe6 Fe 0.477 0.180 0.005 1
Fe7 Fe 0.523 0.820 0.995 1
Fe8 Fe 0.590 0.725 0.315 1
Fe9 Fe 0.675 0.680 0.704 1
Fe10 Fe 0.825 0.529 0.005 1
Fe11 Fe 0.910 0.225 0.135 1
Fe12 Fe 0.977 0.971 0.296 1
Co1 Co 0.172 0.435 0.607 1
Co2 Co 0.328 0.935 0.262 1
Co3 Co 0.672 0.065 0.738 1
Co4 Co 0.828 0.565 0.393 1
Rh1 Rh 0.250 0.750 0.500 1
Rh2 Rh 0.750 0.250 0.500 1
```


(2)
A relaxed FeCo2Rh4 crystal. Source: Alexandria via LeMat-Bulk, functional PBE-GGA.

Properties
ΔE_f in eV per atom: 0.44

```
data_FeCo2Rh4
_cell_length_a 6.536
_cell_length_b 6.536
_cell_length_c 6.536
_cell_angle_alpha 113.35
_cell_angle_beta 113.35
_cell_angle_gamma 101.96
_symmetry_space_group_name_H-M 'P 1'
_symmetry_Int_Tables_number 1
loop_
_symmetry_equiv_pos_as_xyz
'x,y,z'
loop_
_atom_site_label
_atom_site_type_symbol
_atom_site_fract_x
_atom_site_fract_y
_atom_site_fract_z
_atom_site_occupancy
Fe1 Fe 0.250 0.250 0.000 1
Fe2 Fe 0.750 0.750 0.000 1
Co1 Co 0.151 0.651 0.802 1
Co2 Co 0.349 0.151 0.500 1
Co3 Co 0.651 0.849 0.500 1
Co4 Co 0.849 0.349 0.198 1
Rh1 Rh 0.010 0.807 0.500 1
Rh2 Rh 0.193 0.693 0.203 1
Rh3 Rh 0.307 0.510 0.500 1
Rh4 Rh 0.490 0.990 0.797 1
Rh5 Rh 0.510 0.010 0.203 1
Rh6 Rh 0.693 0.490 0.500 1
Rh7 Rh 0.807 0.307 0.797 1
Rh8 Rh 0.990 0.193 0.500 1
```


(3)
A relaxed Fe3CoRh3 crystal. Source: Alexandria via LeMat-Bulk, functional PBE-GGA.

Properties
ΔE_f in eV per atom: 0.16

```
data_Fe3CoRh3
_cell_length_a 7.238
_cell_length_b 7.238
_cell_length_c 7.238
_cell_angle_alpha 90.00
_cell_angle_beta 90.00
_cell_angle_gamma 90.00
_symmetry_space_group_name_H-M 'P 1'
_symmetry_Int_Tables_number 1
loop_
_symmetry_equiv_pos_as_xyz
'x,y,z'
loop_
_atom_site_label
_atom_site_type_symbol
_atom_site_fract_x
_atom_site_fract_y
_atom_site_fract_z
_atom_site_occupancy
Fe1 Fe 0.052 0.304 0.855 1
Fe2 Fe 0.145 0.552 0.196 1
Fe3 Fe 0.196 0.145 0.552 1
Fe4 Fe 0.304 0.855 0.052 1
Fe5 Fe 0.355 0.448 0.696 1
Fe6 Fe 0.448 0.696 0.355 1
Fe7 Fe 0.552 0.196 0.145 1
Fe8 Fe 0.645 0.948 0.804 1
Fe9 Fe 0.696 0.355 0.448 1
Fe10 Fe 0.804 0.645 0.948 1
Fe11 Fe 0.855 0.052 0.304 1
Fe12 Fe 0.948 0.804 0.645 1
Co1 Co 0.119 0.619 0.881 1
Co2 Co 0.381 0.381 0.381 1
Co3 Co 0.619 0.881 0.119 1
Co4 Co 0.881 0.119 0.619 1
Rh1 Rh 0.033 0.467 0.533 1
Rh2 Rh 0.141 0.859 0.359 1
Rh3 Rh 0.186 0.186 0.186 1
Rh4 Rh 0.314 0.814 0.686 1
Rh5 Rh 0.359 0.141 0.859 1
Rh6 Rh 0.467 0.533 0.033 1
Rh7 Rh 0.533 0.033 0.467 1
Rh8 Rh 0.641 0.641 0.641 1
Rh9 Rh 0.686 0.314 0.814 1
Rh10 Rh 0.814 0.686 0.314 1
Rh11 Rh 0.859 0.359 0.141 1
Rh12 Rh 0.967 0.967 0.967 1
```


(4)
A relaxed Fe3Co2Rh crystal. Source: Alexandria via LeMat-Bulk, functional PBE-GGA.

Properties
ΔE_f in eV per atom: -0.04
ΔE to the lowest computed polymorph in eV/f.u.: 0.06

```
data_Fe3Co2Rh
_cell_length_a 6.467
_cell_length_b 6.467
_cell_length_c 5.852
_cell_angle_alpha 90.00
_cell_angle_beta 90.00
_cell_angle_gamma 143.12
_symmetry_space_group_name_H-M 'P 1'
_symmetry_Int_Tables_number 1
loop_
_symmetry_equiv_pos_as_xyz
'x,y,z'
loop_
_atom_site_label
_atom_site_type_symbol
_atom_site_fract_x
_atom_site_fract_y
_atom_site_fract_z
_atom_site_occupancy
Fe1 Fe 0.000 0.000 0.240 1
Fe2 Fe 0.000 0.000 0.760 1
Fe3 Fe 0.337 0.663 0.236 1
Fe4 Fe 0.337 0.663 0.764 1
Fe5 Fe 0.663 0.337 0.236 1
Fe6 Fe 0.663 0.337 0.764 1
Co1 Co 0.167 0.833 0.000 1
Co2 Co 0.500 0.500 0.000 1
Co3 Co 0.500 0.500 0.500 1
Co4 Co 0.833 0.167 0.000 1
Rh1 Rh 0.167 0.833 0.500 1
Rh2 Rh 0.833 0.167 0.500 1
```


(5)
A relaxed Fe2CoRh crystal. Source: Alexandria via LeMat-Bulk, functional PBE-GGA.

Properties
ΔE_f in eV per atom: 0.06
ΔE to the lowest computed polymorph in eV/f.u.: 0.42

```
data_Fe2CoRh
_cell_length_a 2.691
_cell_length_b 3.503
_cell_length_c 5.275
_cell_angle_alpha 90.00
_cell_angle_beta 90.18
_cell_angle_gamma 90.00
_symmetry_space_group_name_H-M 'P 1'
_symmetry_Int_Tables_number 1
loop_
_symmetry_equiv_pos_as_xyz
'x,y,z'
loop_
_atom_site_label
_atom_site_type_symbol
_atom_site_fract_x
_atom_site_fract_y
_atom_site_fract_z
_atom_site_occupancy
Fe1 Fe 0.000 0.000 0.000 1
Fe2 Fe 0.500 0.500 0.251 1
Co1 Co 0.999 0.000 0.479 1
Rh1 Rh 0.500 0.500 0.747 1
```


(6)
A relaxed FeCo7Rh2 crystal. Source: Alexandria via LeMat-Bulk, functional PBE-GGA.

Properties
ΔE_f in eV per atom: 0.04

```
data_FeCo7Rh2
_cell_length_a 4.416
_cell_length_b 4.433
_cell_length_c 6.787
_cell_angle_alpha 102.23
_cell_angle_beta 108.96
_cell_angle_gamma 99.80
_symmetry_space_group_name_H-M 'P 1'
_symmetry_Int_Tables_number 1
loop_
_symmetry_equiv_pos_as_xyz
'x,y,z'
loop_
_atom_site_label
_atom_site_type_symbol
_atom_site_fract_x
_atom_site_fract_y
_atom_site_fract_z
_atom_site_occupancy
Fe1 Fe 0.000 0.000 0.000 1
Co1 Co 0.000 0.500 0.500 1
Co2 Co 0.198 0.590 0.199 1
Co3 Co 0.397 0.695 0.899 1
Co4 Co 0.406 0.211 0.401 1
Co5 Co 0.594 0.789 0.599 1
Co6 Co 0.603 0.305 0.101 1
Co7 Co 0.802 0.410 0.801 1
Rh1 Rh 0.208 0.102 0.705 1
Rh2 Rh 0.792 0.898 0.295 1
```


(7)
A relaxed FeCoRh4S8 crystal. Source: Alexandria via LeMat-Bulk, functional PBE-GGA.

Properties
Uncorrected formation energy in eV per atom: -0.431

```
data_FeCoRh4S8
_cell_length_a 6.885
_cell_length_b 6.885
_cell_length_c 6.885
_cell_angle_alpha 60.00
_cell_angle_beta 60.00
_cell_angle_gamma 60.00
_symmetry_space_group_name_H-M 'P 1'
_symmetry_Int_Tables_number 1
loop_
_symmetry_equiv_pos_as_xyz
'x,y,z'
loop_
_atom_site_label
_atom_site_type_symbol
_atom_site_fract_x
_atom_site_fract_y
_atom_site_fract_z
_atom_site_occupancy
Fe1 Fe 0.000 0.000 0.000 1
Co1 Co 0.250 0.250 0.250 1
Rh1 Rh 0.129 0.624 0.624 1
Rh2 Rh 0.624 0.129 0.624 1
Rh3 Rh 0.624 0.624 0.129 1
Rh4 Rh 0.624 0.624 0.624 1
S1 S 0.379 0.379 0.379 1
S2 S 0.379 0.379 0.864 1
S3 S 0.379 0.864 0.379 1
S4 S 0.390 0.870 0.870 1
S5 S 0.864 0.379 0.379 1
S6 S 0.870 0.390 0.870 1
S7 S 0.870 0.870 0.390 1
S8 S 0.870 0.870 0.870 1
```


(8)
A relaxed FeCo2RhSe6 crystal. Source: Alexandria via LeMat-Bulk, functional PBE-GGA.

Properties
Uncorrected formation energy in eV per atom: -0.281

```
data_FeCo2RhSe6
_cell_length_a 6.372
_cell_length_b 6.372
_cell_length_c 6.372
_cell_angle_alpha 57.63
_cell_angle_beta 57.63
_cell_angle_gamma 57.63
_symmetry_space_group_name_H-M 'P 1'
_symmetry_Int_Tables_number 1
loop_
_symmetry_equiv_pos_as_xyz
'x,y,z'
loop_
_atom_site_label
_atom_site_type_symbol
_atom_site_fract_x
_atom_site_fract_y
_atom_site_fract_z
_atom_site_occupancy
Fe1 Fe 0.000 0.000 0.000 1
Co1 Co 0.205 0.205 0.205 1
Co2 Co 0.701 0.701 0.701 1
Rh1 Rh 0.502 0.502 0.502 1
Se1 Se 0.087 0.808 0.406 1
Se2 Se 0.290 0.603 0.921 1
Se3 Se 0.406 0.087 0.808 1
Se4 Se 0.603 0.921 0.290 1
Se5 Se 0.808 0.406 0.087 1
Se6 Se 0.921 0.290 0.603 1
```


(9)
A relaxed Fe2CoSiRh crystal. Source: Alexandria via LeMat-Bulk, functional PBE-GGA.

Properties
Uncorrected formation energy in eV per atom: 1.352

```
data_Fe2CoSiRh
_cell_length_a 4.573
_cell_length_b 4.573
_cell_length_c 4.516
_cell_angle_alpha 90.00
_cell_angle_beta 90.00
_cell_angle_gamma 90.00
_symmetry_space_group_name_H-M 'P 1'
_symmetry_Int_Tables_number 1
loop_
_symmetry_equiv_pos_as_xyz
'x,y,z'
loop_
_atom_site_label
_atom_site_type_symbol
_atom_site_fract_x
_atom_site_fract_y
_atom_site_fract_z
_atom_site_occupancy
Fe1 Fe 0.000 0.500 0.000 1
Fe2 Fe 0.500 0.000 0.000 1
Co1 Co 0.000 0.000 0.500 1
Si1 Si 0.500 0.500 0.500 1
Rh1 Rh 0.000 0.000 0.000 1
```


(10)
A relaxed FeCoSnRh crystal. Source: Alexandria via LeMat-Bulk, functional PBE-GGA.

Properties
ΔE_f in eV per atom: -0.10

```
data_FeCoSnRh
_cell_length_a 4.350
_cell_length_b 4.350
_cell_length_c 4.350
_cell_angle_alpha 60.00
_cell_angle_beta 60.00
_cell_angle_gamma 60.00
_symmetry_space_group_name_H-M 'P 1'
_symmetry_Int_Tables_number 1
loop_
_symmetry_equiv_pos_as_xyz
'x,y,z'
loop_
_atom_site_label
_atom_site_type_symbol
_atom_site_fract_x
_atom_site_fract_y
_atom_site_fract_z
_atom_site_occupancy
Fe1 Fe 0.000 0.000 0.000 1
Co1 Co 0.750 0.750 0.750 1
Sn1 Sn 0.500 0.500 0.500 1
Rh1 Rh 0.250 0.250 0.250 1
```


(11)
A relaxed FeCoTcRh crystal. Source: Alexandria via LeMat-Bulk, functional PBE-GGA.

Properties
ΔE_f in eV per atom: 0.17

```
data_FeCoTcRh
_cell_length_a 4.179
_cell_length_b 4.179
_cell_length_c 4.179
_cell_angle_alpha 60.00
_cell_angle_beta 60.00
_cell_angle_gamma 60.00
_symmetry_space_group_name_H-M 'P 1'
_symmetry_Int_Tables_number 1
loop_
_symmetry_equiv_pos_as_xyz
'x,y,z'
loop_
_atom_site_label
_atom_site_type_symbol
_atom_site_fract_x
_atom_site_fract_y
_atom_site_fract_z
_atom_site_occupancy
Fe1 Fe 0.000 0.000 0.000 1
Co1 Co 0.500 0.500 0.500 1
Tc1 Tc 0.250 0.250 0.250 1
Rh1 Rh 0.750 0.750 0.750 1
```


(12)
A relaxed TiFeCoRh crystal. Source: Alexandria via LeMat-Bulk, functional PBE-GGA.

Properties
ΔE_f in eV per atom: -0.29

```
data_TiFeCoRh
_cell_length_a 4.223
_cell_length_b 4.223
_cell_length_c 4.223
_cell_angle_alpha 60.00
_cell_angle_beta 60.00
_cell_angle_gamma 60.00
_symmetry_space_group_name_H-M 'P 1'
_symmetry_Int_Tables_number 1
loop_
_symmetry_equiv_pos_as_xyz
'x,y,z'
loop_
_atom_site_label
_atom_site_type_symbol
_atom_site_fract_x
_atom_site_fract_y
_atom_site_fract_z
_atom_site_occupancy
Ti1 Ti 0.000 0.000 0.000 1
Fe1 Fe 0.500 0.500 0.500 1
Co1 Co 0.250 0.250 0.250 1
Rh1 Rh 0.750 0.750 0.750 1
```


Number 1: electronic total energy -7.8624 eV per atom, M_tot 39.94 μB/cell. Number 2: electronic total energy -6.9973 eV per atom, M_tot 18.46 μB/cell. Number 3: electronic total energy -7.6316 eV per atom, M_tot 50.32 μB/cell. Number 4: electronic total energy -7.8642 eV per atom, M_tot 26.37 μB/cell. Number 5: electronic total energy -7.7865 eV per atom, M_tot 7.59 μB/cell. Number 6: electronic total energy -7.2547 eV per atom, M_tot 16.13 μB/cell. Number 7: electronic total energy -6.0022 eV per atom, M_tot 1.33 μB/cell. Number 8: electronic total energy -5.3744 eV per atom, M_tot 0.12 μB/cell. Number 9: electronic total energy -6.0088 eV per atom, M_tot 9.10 μB/cell. Number 10: electronic total energy -6.8320 eV per atom, M_tot 5.12 μB/cell. Number 11: electronic total energy -8.1556 eV per atom, M_tot 4.01 μB/cell. Number 12: electronic total energy -7.9986 eV per atom, M_tot 4.47 μB/cell.